1.
# GGA-PBE SrTaZnPt2, optimized geometry
data_SrTaZnPt2
_space_group_name_H-M_alt 'P 1'
_space_group_IT_number 1
_space_group_name_Hall 'P 1'
_cell_length_a 5.105
_cell_length_b 5.105
_cell_length_c 5.189
_cell_angle_alpha 90.00
_cell_angle_beta 90.00
_cell_angle_gamma 90.00
loop_
_atom_site_label
_atom_site_type_symbol
_atom_site_fract_x
_atom_site_fract_y
_atom_site_fract_z
Sr1 Sr 0.000 0.000 0.000
Ta1 Ta 0.000 0.000 0.500
Zn1 Zn 0.500 0.500 0.500
Pt1 Pt 0.000 0.500 0.000
Pt2 Pt 0.500 0.000 0.000
# * theoretical density: 8893 kg/m³
# * E_form: 10.64 eV per formula unit

2.
# GGA-PBE Sr2TbPt9, optimized geometry
data_Sr2TbPt9
_space_group_name_H-M_alt 'P 1'
_space_group_IT_number 1
_space_group_name_Hall 'P 1'
_cell_length_a 9.558
_cell_length_b 9.558
_cell_length_c 9.558
_cell_angle_alpha 33.17
_cell_angle_beta 33.17
_cell_angle_gamma 33.17
loop_
_atom_site_label
_atom_site_type_symbol
_atom_site_fract_x
_atom_site_fract_y
_atom_site_fract_z
Sr1 Sr 0.141 0.141 0.141
Sr2 Sr 0.859 0.859 0.859
Tb1 Tb 0.000 0.000 0.000
Pt1 Pt 0.081 0.583 0.583
Pt2 Pt 0.333 0.333 0.333
Pt3 Pt 0.417 0.417 0.919
Pt4 Pt 0.417 0.919 0.417
Pt5 Pt 0.500 0.500 0.500
Pt6 Pt 0.583 0.081 0.583
Pt7 Pt 0.583 0.583 0.081
Pt8 Pt 0.667 0.667 0.667
Pt9 Pt 0.919 0.417 0.417
# * theoretical density: 14913 kg/m³
# * E_form: -9.15 eV per formula unit

3.
# GGA-PBE Sr2TbPt, optimized geometry
data_Sr2TbPt
_space_group_name_H-M_alt 'P 1'
_space_group_IT_number 1
_space_group_name_Hall 'P 1'
_cell_length_a 11.416
_cell_length_b 11.416
_cell_length_c 11.416
_cell_angle_alpha 19.93
_cell_angle_beta 19.93
_cell_angle_gamma 19.93
loop_
_atom_site_label
_atom_site_type_symbol
_atom_site_fract_x
_atom_site_fract_y
_atom_site_fract_z
Sr1 Sr 0.111 0.111 0.111
Sr2 Sr 0.889 0.889 0.889
Tb1 Tb 0.000 0.000 0.000
Pt1 Pt 0.500 0.500 0.500
# * theoretical density: 5812 kg/m³
# * E_form: -0.38 eV per formula unit

4.
# GGA-PBE SrTb2Pt, optimized geometry
data_SrTb2Pt
_space_group_name_H-M_alt 'P 1'
_space_group_IT_number 1
_space_group_name_Hall 'P 1'
_cell_length_a 9.948
_cell_length_b 9.948
_cell_length_c 9.948
_cell_angle_alpha 24.22
_cell_angle_beta 24.22
_cell_angle_gamma 24.22
loop_
_atom_site_label
_atom_site_type_symbol
_atom_site_fract_x
_atom_site_fract_y
_atom_site_fract_z
Sr1 Sr 0.000 0.000 0.000
Tb1 Tb 0.217 0.217 0.217
Tb2 Tb 0.783 0.783 0.783
Pt1 Pt 0.500 0.500 0.500
# * theoretical density: 6845 kg/m³
# * E_form: -2.21 eV per formula unit
# * E above lowest polymorph: 19 meV per atom

5.
# GGA-PBE SrTbPt, optimized geometry
data_SrTbPt
_space_group_name_H-M_alt 'P 1'
_space_group_IT_number 1
_space_group_name_Hall 'P 1'
_cell_length_a 7.205
_cell_length_b 7.205
_cell_length_c 7.205
_cell_angle_alpha 150.66
_cell_angle_beta 150.66
_cell_angle_gamma 41.98
loop_
_atom_site_label
_atom_site_type_symbol
_atom_site_fract_x
_atom_site_fract_y
_atom_site_fract_z
Sr1 Sr 0.000 0.000 0.000
Tb1 Tb 0.255 0.255 0.000
Pt1 Pt 0.654 0.654 0.000
# * theoretical density: 8183 kg/m³
# * E_form: -2.11 eV per formula unit
# * E above lowest polymorph: 0 meV per atom

6.
# GGA-PBE SrTbPt2, optimized geometry
data_SrTbPt2
_space_group_name_H-M_alt 'P 1'
_space_group_IT_number 1
_space_group_name_Hall 'P 1'
_cell_length_a 3.561
_cell_length_b 3.561
_cell_length_c 7.366
_cell_angle_alpha 90.00
_cell_angle_beta 90.00
_cell_angle_gamma 90.00
loop_
_atom_site_label
_atom_site_type_symbol
_atom_site_fract_x
_atom_site_fract_y
_atom_site_fract_z
Sr1 Sr 0.000 0.000 0.000
Tb1 Tb 0.000 0.000 0.500
Pt1 Pt 0.500 0.500 0.287
Pt2 Pt 0.500 0.500 0.713
# * theoretical density: 11317 kg/m³
# * E_form: -4.14 eV per formula unit
# * E above lowest polymorph: 0 meV per atom

7.
# GGA-PBE SrTbPt, optimized geometry
data_SrTbPt
_space_group_name_H-M_alt 'P 1'
_space_group_IT_number 1
_space_group_name_Hall 'P 1'
_cell_length_a 4.230
_cell_length_b 4.230
_cell_length_c 6.783
_cell_angle_alpha 90.00
_cell_angle_beta 90.00
_cell_angle_gamma 120.00
loop_
_atom_site_label
_atom_site_type_symbol
_atom_site_fract_x
_atom_site_fract_y
_atom_site_fract_z
Sr1 Sr 0.000 0.000 0.000
Tb1 Tb 0.667 0.333 0.468
Pt1 Pt 0.333 0.667 0.274
# * theoretical density: 6978 kg/m³
# * E_form: -2.08 eV per formula unit
# * E above lowest polymorph: 12 meV per atom

8.
# GGA-PBE SrTb3Pt, optimized geometry
data_SrTb3Pt
_space_group_name_H-M_alt 'P 1'
_space_group_IT_number 1
_space_group_name_Hall 'P 1'
_cell_length_a 5.595
_cell_length_b 5.595
_cell_length_c 5.595
_cell_angle_alpha 90.00
_cell_angle_beta 90.00
_cell_angle_gamma 90.00
loop_
_atom_site_label
_atom_site_type_symbol
_atom_site_fract_x
_atom_site_fract_y
_atom_site_fract_z
Sr1 Sr 0.000 0.000 0.000
Tb1 Tb 0.000 0.500 0.500
Tb2 Tb 0.500 0.000 0.500
Tb3 Tb 0.500 0.500 0.000
Pt1 Pt 0.500 0.500 0.500
# * theoretical density: 7200 kg/m³
# * E_form: -1.92 eV per formula unit

9.
# GGA-PBE SrTbPt2, optimized geometry
data_SrTbPt2
_space_group_name_H-M_alt 'P 1'
_space_group_IT_number 1
_space_group_name_Hall 'P 1'
_cell_length_a 5.056
_cell_length_b 5.056
_cell_length_c 5.056
_cell_angle_alpha 60.00
_cell_angle_beta 60.00
_cell_angle_gamma 60.00
loop_
_atom_site_label
_atom_site_type_symbol
_atom_site_fract_x
_atom_site_fract_y
_atom_site_fract_z
Sr1 Sr 0.000 0.000 0.000
Tb1 Tb 0.500 0.500 0.500
Pt1 Pt 0.250 0.250 0.250
Pt2 Pt 0.750 0.750 0.750
# * theoretical density: 11569 kg/m³
# * E_form: -3.71 eV per formula unit
# * E above lowest polymorph: 107 meV per atom

10.
# GGA-PBE SrTb2Pt, optimized geometry
data_SrTb2Pt
_space_group_name_H-M_alt 'P 1'
_space_group_IT_number 1
_space_group_name_Hall 'P 1'
_cell_length_a 9.679
_cell_length_b 9.679
_cell_length_c 9.679
_cell_angle_alpha 25.11
_cell_angle_beta 25.11
_cell_angle_gamma 25.11
loop_
_atom_site_label
_atom_site_type_symbol
_atom_site_fract_x
_atom_site_fract_y
_atom_site_fract_z
Sr1 Sr 0.000 0.000 0.000
Tb1 Tb 0.549 0.549 0.549
Tb2 Tb 0.781 0.781 0.781
Pt1 Pt 0.165 0.165 0.165
# * theoretical density: 6944 kg/m³
# * E_form: -2.29 eV per formula unit
# * E above lowest polymorph: 0 meV per atom

11.
# GGA-PBE SrTb2Pt9, optimized geometry
data_SrTb2Pt9
_space_group_name_H-M_alt 'P 1'
_space_group_IT_number 1
_space_group_name_Hall 'P 1'
_cell_length_a 9.364
_cell_length_b 9.364
_cell_length_c 9.364
_cell_angle_alpha 34.01
_cell_angle_beta 34.01
_cell_angle_gamma 34.01
loop_
_atom_site_label
_atom_site_type_symbol
_atom_site_fract_x
_atom_site_fract_y
_atom_site_fract_z
Sr1 Sr 0.000 0.000 0.000
Tb1 Tb 0.140 0.140 0.140
Tb2 Tb 0.860 0.860 0.860
Pt1 Pt 0.081 0.588 0.588
Pt2 Pt 0.332 0.332 0.332
Pt3 Pt 0.412 0.412 0.919
Pt4 Pt 0.412 0.919 0.412
Pt5 Pt 0.500 0.500 0.500
Pt6 Pt 0.588 0.081 0.588
Pt7 Pt 0.588 0.588 0.081
Pt8 Pt 0.668 0.668 0.668
Pt9 Pt 0.919 0.412 0.412
# * theoretical density: 15671 kg/m³
# * E_form: -10.52 eV per formula unit

12.
# GGA-PBE SrTbZnPt, optimized geometry
data_SrTbZnPt
_space_group_name_H-M_alt 'P 1'
_space_group_IT_number 1
_space_group_name_Hall 'P 1'
_cell_length_a 5.134
_cell_length_b 5.134
_cell_length_c 5.134
_cell_angle_alpha 60.00
_cell_angle_beta 60.00
_cell_angle_gamma 60.00
loop_
_atom_site_label
_atom_site_type_symbol
_atom_site_fract_x
_atom_site_fract_y
_atom_site_fract_z
Sr1 Sr 0.000 0.000 0.000
Tb1 Tb 0.500 0.500 0.500
Zn1 Zn 0.750 0.750 0.750
Pt1 Pt 0.250 0.250 0.250
# * theoretical density: 8798 kg/m³
# * E_form: -2.24 eV per formula unit

13.
# GGA-PBE Sr2TbZn3Pt4, optimized geometry
data_Sr2TbZn3Pt4
_space_group_name_H-M_alt 'P 1'
_space_group_IT_number 1
_space_group_name_Hall 'P 1'
_cell_length_a 4.339
_cell_length_b 4.339
_cell_length_c 11.470
_cell_angle_alpha 90.00
_cell_angle_beta 90.00
_cell_angle_gamma 90.00
loop_
_atom_site_label
_atom_site_type_symbol
_atom_site_fract_x
_atom_site_fract_y
_atom_site_fract_z
Sr1 Sr 0.000 0.500 0.223
Sr2 Sr 0.500 0.000 0.777
Tb1 Tb 0.000 0.000 0.500
Zn1 Zn 0.000 0.500 0.878
Zn2 Zn 0.500 0.000 0.122
Zn3 Zn 0.500 0.500 0.500
Pt1 Pt 0.000 0.000 0.000
Pt2 Pt 0.000 0.500 0.653
Pt3 Pt 0.500 0.000 0.347
Pt4 Pt 0.500 0.500 0.000
# * theoretical density: 10079 kg/m³
# * E_form: -7.59 eV per formula unit

14.
# GGA-PBE Sr2TcPt2, optimized geometry
data_Sr2TcPt2
_space_group_name_H-M_alt 'P 1'
_space_group_IT_number 1
_space_group_name_Hall 'P 1'
_cell_length_a 6.872
_cell_length_b 6.872
_cell_length_c 4.911
_cell_angle_alpha 90.00
_cell_angle_beta 90.00
_cell_angle_gamma 90.00
loop_
_atom_site_label
_atom_site_type_symbol
_atom_site_fract_x
_atom_site_fract_y
_atom_site_fract_z
Sr1 Sr 0.177 0.323 0.000
Sr2 Sr 0.323 0.823 0.000
Sr3 Sr 0.677 0.177 0.000
Sr4 Sr 0.823 0.677 0.000
Tc1 Tc 0.000 0.000 0.500
Tc2 Tc 0.500 0.500 0.500
Pt1 Pt 0.140 0.640 0.500
Pt2 Pt 0.360 0.140 0.500
Pt3 Pt 0.640 0.860 0.500
Pt4 Pt 0.860 0.360 0.500
# * theoretical density: 9501 kg/m³
# * E_form: -1.04 eV per formula unit